{
  "formula": "TaInFe2",
  "functional": "GGA-PBEsol",
  "state": "optimized geometry",
  "lattice_angstrom": [[1.6964, -2.1804, 0.0000], [1.6964, 2.1804, 0.0000], [0.0000, 0.0000, 8.0225]],
  "species": ["Ta", "In", "Fe", "Fe"],
  "fractional_positions": [[0.0000, 0.0000, 0.0000], [0.0000, 0.0000, 0.5000], [0.5000, 0.5000, 0.2420], [0.5000, 0.5000, 0.7580]],
  "formation_enthalpy_0k_ev_per_atom": 0.23,
  "total_energy_ev_per_atom": -8.14,
  "magnetic_moment_mub_per_cell": 3.31,
  "crystal_system": "orthorhombic"
}